[1]
The following is a DFT calculation (PBE-GGA) of crystalline Sr2GePb at its relaxed geometry.

a = 4.0493 Å, b = 4.0493 Å, c = 33.0565 Å
α = 90.00°, β = 90.00°, γ = 120.00°
With the nearest neighbours (Å) after each atom.
Space group R-3m (No. 166, hexagonal axes)
Inequivalent atoms, fractional coordinates:
Sr1 0.0000 0.0000 0.1034 [6 per cell]  3 Ge 3.14, 1 Pb 3.42
Ge1 0.0000 0.0000 0.5000 [3 per cell]  6 Sr 3.14
Pb1 0.0000 0.0000 0.0000 [3 per cell]  2 Sr 3.42

## Properties
As for the calculated formation energy: -0.079 eV per atom.

---

[2]
The following is a DFT calculation (PBE-GGA) of crystalline RbNbI2N at its relaxed geometry.

a = 6.3969 Å, b = 6.3969 Å, c = 4.3586 Å
α = 90.00°, β = 90.00°, γ = 90.00°
With the nearest neighbours (Å) after each atom.
Space group P4/mmm (No. 123)
Inequivalent atoms, fractional coordinates:
Rb1 0.0000 0.0000 0.0000 [1 per cell]  2 N 2.18
Nb1 0.5000 0.5000 0.5000 [1 per cell]  8 I 3.87
I1 0.0000 0.5000 0.0000 [2 per cell]  2 Rb 3.20
N1 0.0000 0.0000 0.5000 [1 per cell]  2 Rb 2.18

## Properties
The value obtained for the uncorrected formation energy is 1.769 eV per atom.

---

| no. | offset from the most stable computed form (eV per formula unit) |
| --- | --- |
| 1 | 1.92 |
| 2 | 11.21 |